1.
4
Lattice="-1.5754 2.3526 4.6698 1.5754 -2.3526 4.6698 1.5754 2.3526 -4.6698" Properties=species:S:1:pos:R:3 comment="Ta2RhBr | Alexandria via LeMat-Bulk | PBE-GGA | relaxed" energy_ev_per_atom=-7.72 sg="Immm, No. 71" pbc="T T T"
Ta 0.0000 0.0000 2.2542
Ta 0.0000 0.0000 7.0855
Rh 0.0000 2.3526 0.0000
Br 1.5754 0.0000 0.0000


2.
5
Lattice="4.7709 0.0000 0.0000 0.0000 4.7709 0.0000 0.0000 0.0000 4.7713" Properties=species:S:1:pos:R:3 comment="TiCdS2Cl | Alexandria via LeMat-Bulk | PBE-GGA | relaxed" energy_ev_per_atom=-4.46 sg="P4/mmm, No. 123" pbc="T T T"
Ti 0.0000 0.0000 0.0000
Cd 2.3855 2.3855 2.3856
S 0.0000 2.3855 0.0000
S 2.3855 0.0000 0.0000
Cl 0.0000 0.0000 2.3856


3.
10
Lattice="7.6674 0.0000 0.0000 0.0000 4.0197 0.0000 -0.7965 0.0000 8.0296" Properties=species:S:1:pos:R:3 comment="CeMgSe3 | Alexandria via LeMat-Bulk | PBE-GGA | relaxed" energy_ev_per_atom=-5.03 sg="P2_1/m, No. 11" pbc="T T T"
Ce 0.7481 1.0049 2.1903
Ce 6.1229 3.0147 5.8393
Mg 2.1107 3.0147 6.7424
Mg 4.7603 1.0049 1.2873
Se 0.1883 1.0049 7.0858
Se 1.0768 3.0147 4.2661
Se 2.9243 3.0147 1.4093
Se 3.9466 1.0049 6.6203
Se 5.7942 1.0049 3.7635
Se 6.6827 3.0147 0.9438


4.
4
Lattice="-2.0140 2.0140 3.8248 2.0140 -2.0140 3.8248 2.0140 2.0140 -3.8248" Properties=species:S:1:pos:R:3 comment="TeOsRu2 | Alexandria via LeMat-Bulk | PBE-GGA | relaxed" energy_ev_per_atom=-7.73 sg="I-4m2, No. 119" pbc="T T T"
Te 0.0000 0.0000 0.0000
Os 2.0140 0.0000 1.9124
Ru 0.0000 0.0000 3.8248
Ru 0.0000 2.0140 1.9124


5.
8
Lattice="-3.2411 3.2411 2.6496 3.2411 -3.2411 2.6496 3.2411 3.2411 -2.6496" Properties=species:S:1:pos:R:3 comment="ZnO | Alexandria via LeMat-Bulk | PBE-GGA | relaxed" energy_ev_per_atom=-4.48 sg="I4cm, No. 108" pbc="T T T"
Zn 4.2180 0.9769 0.0000
Zn 0.9769 2.2642 0.0000
Zn 2.2642 0.9769 2.6496
Zn -0.9769 2.2642 2.6496
O 2.2669 0.9742 0.6463
O 2.2669 -0.9742 3.2959
O 0.9742 4.2153 0.6463
O 0.9742 2.2669 3.2959


6.
15
Lattice="3.5143 2.0290 7.7265 -3.5143 2.0290 7.7265 0.0000 -4.0580 7.7265" Properties=species:S:1:pos:R:3 comment="Ti3Tl3NiS8 | Alexandria via LeMat-Bulk | PBE-GGA | relaxed" energy_ev_per_atom=-5.49 sg="R-3m, No. 166" pbc="T T T"
Ti -1.7572 -1.0145 7.7265
Ti -1.7572 1.0145 15.4531
Ti 0.0000 2.0290 7.7265
Tl -3.5143 0.0000 11.5898
Tl -1.7572 1.0145 3.8633
Tl 1.7572 1.0145 3.8633
Ni 0.0000 0.0000 0.0000
S 0.0000 -2.0566 9.0759
S -1.7811 1.0283 9.0759
S -1.7811 -1.0283 14.1037
S 0.0000 0.0000 6.3260
S 0.0000 0.0000 16.8536
S 1.7811 1.0283 9.0759
S 1.7811 -1.0283 14.1037
S 0.0000 2.0566 14.1037


7.
8
Lattice="-1.9656 1.9656 8.4570 1.9656 -1.9656 8.4570 1.9656 1.9656 -8.4570" Properties=species:S:1:pos:R:3 comment="Tc2AuF | Alexandria via LeMat-Bulk | PBE-GGA | relaxed" energy_ev_per_atom=-6.07 sg="I-42d, No. 122" pbc="T T T"
Tc 2.9484 0.6529 -2.1142
Tc 0.6529 0.9828 2.1142
Tc -0.9828 1.3127 6.3427
Tc 1.3127 0.9828 10.5712
Au 1.9656 0.0000 4.2285
Au 0.0000 0.0000 8.4570
F 0.0000 0.0000 0.0000
F 0.0000 1.9656 4.2285


8.
3
Lattice="4.5005 0.0000 0.0000 -2.2503 3.8976 0.0000 0.0000 0.0000 3.6252" Properties=species:S:1:pos:R:3 comment="PaSiS | Alexandria via LeMat-Bulk | PBE-GGA | relaxed" energy_ev_per_atom=-6.88 sg="P-6m2, No. 187" pbc="T T T"
Pa 0.0000 0.0000 0.0000
Si 2.2503 1.2992 1.8126
S 0.0000 2.5984 0.0000